! Cu3RuN, optimized geometry, DFT PBE; values from VASP
! Spin magnetization ... 0.2349 μB/atom
! Mass density ... 5.31 g/cm3
! Crystal system ... cubic
! Energy relative to the elements, uncorrected ... 12.3 eV/f.u.
&SYSTEM
  ibrav = 0, nat = 5, ntyp = 3
/
ATOMIC_SPECIES
Cu 63.55 Cu.upf
Ru 101.07 Ru.upf
N 14.01 N.upf
ATOMIC_POSITIONS crystal
Cu 0.000 0.000 0.500
Cu 0.000 0.500 0.000
Cu 0.500 0.000 0.000
Ru 0.000 0.000 0.000
N 0.500 0.500 0.500
CELL_PARAMETERS angstrom
4.574 0.000 0.000
0.000 4.574 0.000
0.000 0.000 4.574

***

! CuRu3N, optimized geometry, DFT PBE; values from VASP
! Spin magnetization ... 1.4799 μB/atom
! Mass density ... 6.93 g/cm3
! Crystal system ... cubic
! Energy relative to the elements, uncorrected ... 14.2 eV/f.u.
&SYSTEM
  ibrav = 0, nat = 5, ntyp = 3
/
ATOMIC_SPECIES
Cu 63.55 Cu.upf
Ru 101.07 Ru.upf
N 14.01 N.upf
ATOMIC_POSITIONS crystal
Cu 0.000 0.000 0.000
Ru 0.000 0.000 0.500
Ru 0.000 0.500 0.000
Ru 0.500 0.000 0.000
N 0.500 0.500 0.500
CELL_PARAMETERS angstrom
4.502 0.000 0.000
0.000 4.502 0.000
0.000 0.000 4.502

***

! CuRu3N, optimized geometry, DFT PBE; values from VASP
! Spin magnetization ... 0.3264 μB/atom
! Mass density ... 9.91 g/cm3
! Crystal system ... cubic
! Energy relative to the elements, uncorrected ... 1.7 eV/f.u.
&SYSTEM
  ibrav = 0, nat = 5, ntyp = 3
/
ATOMIC_SPECIES
Cu 63.55 Cu.upf
Ru 101.07 Ru.upf
N 14.01 N.upf
ATOMIC_POSITIONS crystal
Cu 0.000 0.000 0.000
Ru 0.000 0.500 0.500
Ru 0.500 0.000 0.500
Ru 0.500 0.500 0.000
N 0.500 0.500 0.500
CELL_PARAMETERS angstrom
3.996 0.000 0.000
0.000 3.996 0.000
0.000 0.000 3.996

***

! Cu2Ru2N, optimized geometry, DFT PBE; values from VASP
! Spin magnetization ... 0.2870 μB/atom
! Mass density ... 7.78 g/cm3
! Crystal system ... tetragonal
! Energy relative to the elements, uncorrected ... 7.6 eV/f.u.
&SYSTEM
  ibrav = 0, nat = 10, ntyp = 3
/
ATOMIC_SPECIES
Cu 63.55 Cu.upf
Ru 101.07 Ru.upf
N 14.01 N.upf
ATOMIC_POSITIONS crystal
Cu 0.000 0.000 0.091
Cu 0.000 0.000 0.909
Cu 0.500 0.500 0.409
Cu 0.500 0.500 0.591
Ru 0.000 0.500 0.250
Ru 0.000 0.500 0.750
Ru 0.500 0.000 0.250
Ru 0.500 0.000 0.750
N 0.000 0.000 0.500
N 0.500 0.500 0.000
CELL_PARAMETERS angstrom
3.367 0.000 0.000
0.000 3.367 0.000
0.000 0.000 12.927

***

! Cu2Ru2N, optimized geometry, DFT PBE; values from VASP
! Spin magnetization ... 0.5638 μB/atom
! Mass density ... 9.09 g/cm3
! Crystal system ... tetragonal
! Energy relative to the elements, uncorrected ... 4.9 eV/f.u.
&SYSTEM
  ibrav = 0, nat = 10, ntyp = 3
/
ATOMIC_SPECIES
Cu 63.55 Cu.upf
Ru 101.07 Ru.upf
N 14.01 N.upf
ATOMIC_POSITIONS crystal
Cu 0.174 0.326 0.000
Cu 0.326 0.826 0.000
Cu 0.674 0.174 0.000
Cu 0.826 0.674 0.000
Ru 0.173 0.673 0.500
Ru 0.327 0.173 0.500
Ru 0.673 0.827 0.500
Ru 0.827 0.327 0.500
N 0.000 0.000 0.000
N 0.500 0.500 0.000
CELL_PARAMETERS angstrom
5.210 0.000 0.000
0.000 5.210 0.000
0.000 0.000 4.618

***

! Cu3RuN, optimized geometry, DFT PBE; values from VASP
! Spin magnetization ... 0.3439 μB/atom
! Mass density ... 8.75 g/cm3
! Crystal system ... cubic
! Energy relative to the elements, uncorrected ... 2.9 eV/f.u.
&SYSTEM
  ibrav = 0, nat = 5, ntyp = 3
/
ATOMIC_SPECIES
Cu 63.55 Cu.upf
Ru 101.07 Ru.upf
N 14.01 N.upf
ATOMIC_POSITIONS crystal
Cu 0.000 0.000 0.500
Cu 0.000 0.500 0.000
Cu 0.500 0.000 0.000
Ru 0.500 0.500 0.500
N 0.000 0.000 0.000
CELL_PARAMETERS angstrom
3.872 0.000 0.000
0.000 3.872 0.000
0.000 0.000 3.872

***

! CuRuSN2, optimized geometry, DFT PBE; values from VASP
! Spin magnetization ... 0.0851 μB/atom
! Mass density ... 5.83 g/cm3
! Crystal system ... tetragonal
! Energy relative to the elements, uncorrected ... 8.8 eV/f.u.
&SYSTEM
  ibrav = 0, nat = 5, ntyp = 4
/
ATOMIC_SPECIES
Cu 63.55 Cu.upf
Ru 101.07 Ru.upf
S 32.06 S.upf
N 14.01 N.upf
ATOMIC_POSITIONS crystal
Cu 0.000 0.000 0.000
Ru 0.500 0.500 0.500
S 0.000 0.000 0.500
N 0.000 0.500 0.000
N 0.500 0.000 0.000
CELL_PARAMETERS angstrom
3.661 0.000 0.000
0.000 3.661 0.000
0.000 0.000 4.778

***

! CuRuS2N, optimized geometry, DFT PBE; values from VASP
! Spin magnetization ... 0.4011 μB/atom
! Mass density ... 5.46 g/cm3
! Crystal system ... tetragonal
! Energy relative to the elements, uncorrected ... 6.5 eV/f.u.
&SYSTEM
  ibrav = 0, nat = 5, ntyp = 4
/
ATOMIC_SPECIES
Cu 63.55 Cu.upf
Ru 101.07 Ru.upf
S 32.06 S.upf
N 14.01 N.upf
ATOMIC_POSITIONS crystal
Cu 0.000 0.000 0.000
Ru 0.500 0.500 0.500
S 0.000 0.500 0.000
S 0.500 0.000 0.000
N 0.000 0.000 0.500
CELL_PARAMETERS angstrom
4.614 0.000 0.000
0.000 4.614 0.000
0.000 0.000 3.466